DFT (PBE) results for ZrCo2P after structural relaxation.

Geometry as POSCAR:
```
ZrCo2P
1.0
3.916 0.000 0.000
0.000 3.916 0.000
1.958 1.958 7.823
P Co Zr
2 4 2
Cartesian
1.958 1.958 0.000 P
1.958 3.916 3.912 P
2.590 0.979 1.956 Co
1.327 2.937 1.956 Co
2.937 3.285 5.867 Co
4.895 4.548 5.867 Co
0.000 0.000 0.000 Zr
3.916 1.958 3.912 Zr
```

Values from the calculation:
* theoretical density: 6.64 g/cm3
* E_tot: -7.318 eV/atom
* calculated volume: 119.99 Å³/cell